Material: KLaSm4O8
Method: DFT, PBE
State: optimized geometry

Cell lengths 7.1206, 7.1206, 17.7253 Å; angles 90.00, 90.00, 120.00 degrees
Closest atoms and distances in Å follow each position.
Space group R3m (No. 160, hexagonal axes)
Symmetry-distinct sites (fractional):
K 0.0000 0.0000 0.0000 (multiplicity 3)  4 O 2.57-2.59
La 0.0000 0.0000 0.6278 (multiplicity 3)  6 O 2.34-2.54
Sm 0.0000 0.0000 0.2497 (multiplicity 3)  4 O 2.28-2.33
Sm 0.1707 0.3414 0.4577 (multiplicity 9)  6 O 2.28-2.50
O 0.0000 0.0000 0.3815 (multiplicity 3)  4 Sm 2.33-2.50
O 0.0000 0.0000 0.8537 (multiplicity 3)  3 Sm 2.29
O 0.0561 0.5280 0.3844 (multiplicity 9)  2 Sm 2.28, 1 La 2.34
O 0.1729 0.3459 0.2041 (multiplicity 9)  3 Sm 2.28-2.49, 1 La 2.54

total magnetization = 0.00 μB per cell
formation energy without anion corrections = -3.118 eV/atom

Material: HoBiAs2O8
Method: DFT, PBE
State: optimized geometry

Cell lengths 5.5775, 5.5775, 7.0080 Å; angles 90.00, 90.00, 120.00 degrees
Closest atoms and distances in Å follow each position.
Space group P-3m1 (No. 164)
Symmetry-distinct sites (fractional):
Ho 0.0000 0.0000 0.0000 (multiplicity 1)  6 O 2.23
Bi 0.0000 0.0000 0.5000 (multiplicity 1)  6 O 2.52
As 0.3333 0.6667 0.6921 (multiplicity 2)  4 O 1.68-1.73
O 0.1654 0.3308 0.7772 (multiplicity 6)  1 As 1.73
O 0.3333 0.6667 0.4523 (multiplicity 2)  1 As 1.68

total magnetization = 0.00 μB per cell
formation energy without anion corrections = -1.715 eV/atom